# 1
This record from Alexandria describes an optimized crystal structure of Pm2VSi3Ir4. The functional is GGA-PBE. Values from VASP.

```
&SYSTEM
  ibrav = 0, nat = 10, ntyp = 4
/
ATOMIC_SPECIES
Si 28.09 Si.upf
Pm 145.00 Pm.upf
Ir 192.22 Ir.upf
V 50.94 V.upf
ATOMIC_POSITIONS crystal
Si 0.000 0.000 0.500
Pm 0.000 0.500 0.750
Ir 0.500 0.500 0.000
Si 0.500 0.000 0.873
Si 0.000 0.500 0.127
Ir 0.000 0.500 0.366
Ir 0.000 0.000 0.000
Pm 0.500 0.000 0.250
V 0.500 0.500 0.500
Ir 0.500 0.000 0.634
CELL_PARAMETERS angstrom
4.141 0.000 0.000
0.000 4.141 0.000
0.000 0.000 10.154
```

## Properties
formation energy from raw total energies	-953	meV per atom
crystal system	tetragonal
volume	174	Å³/cell

---

# 2
This record from Alexandria describes an optimized crystal structure of HoPuGaAu. The functional is GGA-PBE. Values from VASP.

```
&SYSTEM
  ibrav = 0, nat = 4, ntyp = 4
/
ATOMIC_SPECIES
Pu 244.00 Pu.upf
Ga 69.72 Ga.upf
Ho 164.93 Ho.upf
Au 196.97 Au.upf
ATOMIC_POSITIONS crystal
Pu 0.500 0.500 0.500
Ga 0.250 0.250 0.250
Ho 0.000 0.000 0.000
Au 0.750 0.750 0.750
CELL_PARAMETERS angstrom
-1.586 2.271 4.294
-4.708 -0.894 1.774
-0.646 -2.752 4.257
```

## Properties
crystal system	cubic
formation energy from the elements	-0.477	eV per atom
volume	94	Å³/cell

---

# 3
This record from Alexandria describes an optimized crystal structure of PaSiO4. The functional is GGA-PBE. Values from VASP.

```
&SYSTEM
  ibrav = 0, nat = 24, ntyp = 3
/
ATOMIC_SPECIES
O 16.00 O.upf
Si 28.09 Si.upf
Pa 231.04 Pa.upf
ATOMIC_POSITIONS crystal
O 0.618 0.220 0.712
O 0.521 0.171 0.103
Si 0.198 0.890 0.338
O 0.109 0.004 0.160
O 0.021 0.671 0.397
O 0.755 0.924 0.495
O 0.479 0.829 0.897
Si 0.302 0.610 0.838
Si 0.802 0.110 0.662
O 0.882 0.280 0.212
Pa 0.788 0.599 0.652
Pa 0.212 0.401 0.348
Si 0.698 0.390 0.162
O 0.382 0.780 0.288
Pa 0.712 0.901 0.152
O 0.609 0.504 0.340
Pa 0.288 0.099 0.848
O 0.118 0.720 0.788
O 0.979 0.329 0.603
O 0.255 0.424 0.005
O 0.245 0.076 0.505
O 0.391 0.496 0.660
O 0.891 0.996 0.840
O 0.745 0.576 0.995
CELL_PARAMETERS angstrom
6.782 -0.302 0.000
-1.490 6.356 0.000
0.000 0.000 6.939
```

## Properties
energy above the most stable polymorph in this dataset	0	meV/atom
formation energy from raw total energies	-3066	meV per atom
crystal system	monoclinic
volume	296	Å³/cell

---

# 4
This record from Alexandria describes an optimized crystal structure of MnTlPbSe3. The functional is GGA-PBE. Values from VASP.

```
&SYSTEM
  ibrav = 0, nat = 12, ntyp = 4
/
ATOMIC_SPECIES
Se 78.96 Se.upf
Tl 204.38 Tl.upf
Mn 54.94 Mn.upf
Pb 207.20 Pb.upf
ATOMIC_POSITIONS crystal
Se 0.750 0.879 0.175
Tl 0.250 0.156 0.173
Se 0.250 0.595 0.839
Mn 0.250 0.081 0.571
Se 0.750 0.175 0.504
Pb 0.250 0.630 0.150
Se 0.250 0.121 0.825
Tl 0.750 0.844 0.827
Pb 0.750 0.370 0.850
Se 0.750 0.405 0.161
Mn 0.750 0.919 0.429
Se 0.250 0.825 0.496
CELL_PARAMETERS angstrom
-3.375 -2.263 1.308
5.720 -6.344 3.789
-0.805 5.517 7.469
```

## Properties
formation energy from raw total energies	-366	meV per atom
crystal system	monoclinic
volume	369	Å³/cell

---

# 5
This record from Alexandria describes an optimized crystal structure of Pm2Nd3Er7. The functional is GGA-PBE. Values from VASP.

```
&SYSTEM
  ibrav = 0, nat = 12, ntyp = 3
/
ATOMIC_SPECIES
Nd 144.24 Nd.upf
Er 167.26 Er.upf
Pm 145.00 Pm.upf
ATOMIC_POSITIONS crystal
Nd 0.500 0.500 0.000
Nd 0.000 0.777 0.631
Er 0.000 0.000 0.000
Er 0.500 0.808 0.828
Pm 0.500 0.710 0.292
Pm 0.500 0.290 0.708
Er 0.000 0.310 0.858
Er 0.500 0.192 0.172
Nd 0.000 0.223 0.369
Er 0.500 0.258 0.538
Er 0.500 0.742 0.462
Er 0.000 0.690 0.142
CELL_PARAMETERS angstrom
3.577 0.000 0.000
0.000 5.817 0.268
0.000 -1.908 18.742
```

## Properties
energy above the most stable polymorph in this dataset	6	meV/atom
crystal system	monoclinic
formation energy from the elements	0.087	eV per atom
volume	392	Å³/cell

---

# 6
This record from Alexandria describes an optimized crystal structure of ErSc12In3. The functional is GGA-PBE. Values from VASP.

```
&SYSTEM
  ibrav = 0, nat = 16, ntyp = 3
/
ATOMIC_SPECIES
Er 167.26 Er.upf
Sc 44.96 Sc.upf
In 114.82 In.upf
ATOMIC_POSITIONS crystal
Er 0.000 0.000 0.000
Sc 0.500 0.500 0.000
Sc 0.000 0.500 0.132
Sc 0.500 0.000 0.622
Sc 0.500 0.000 0.868
Sc 0.500 0.000 0.132
Sc 0.000 0.500 0.622
Sc 0.000 0.500 0.868
In 0.000 0.000 0.500
Sc 0.500 0.000 0.378
In 0.000 0.000 0.256
In 0.000 0.000 0.744
Sc 0.000 0.500 0.378
Sc 0.500 0.500 0.743
Sc 0.500 0.500 0.257
Sc 0.500 0.500 0.500
CELL_PARAMETERS angstrom
4.542 0.000 0.000
0.000 4.542 0.000
0.000 0.000 18.484
```

## Properties
crystal system	tetragonal
formation energy from the elements	-0.191	eV per atom
volume	381	Å³/cell

---

# 7
This record from Alexandria describes an optimized crystal structure of YInCu2. The functional is GGA-PBE. Values from VASP.

```
&SYSTEM
  ibrav = 0, nat = 8, ntyp = 3
/
ATOMIC_SPECIES
Y 88.91 Y.upf
Cu 63.55 Cu.upf
In 114.82 In.upf
ATOMIC_POSITIONS crystal
Y 0.500 0.500 0.000
Cu 0.764 0.125 0.250
Cu 0.986 0.625 0.250
In 0.750 0.250 0.500
In 0.000 0.000 0.000
Cu 0.875 0.014 0.750
Y 0.250 0.750 0.500
Cu 0.375 0.236 0.750
CELL_PARAMETERS angstrom
4.512 0.000 0.000
0.000 4.512 0.000
2.256 2.256 8.932
```

## Properties
crystal system	tetragonal
formation energy from the elements	0.100	eV per atom
volume	182	Å³/cell

---

# 8
This record from Alexandria describes an optimized crystal structure of ZnSi2Ag. The functional is GGA-PBE. Values from VASP.

```
&SYSTEM
  ibrav = 0, nat = 4, ntyp = 3
/
ATOMIC_SPECIES
Ag 107.87 Ag.upf
Si 28.09 Si.upf
Zn 65.41 Zn.upf
ATOMIC_POSITIONS crystal
Ag 0.245 0.745 0.500
Si 0.973 0.973 0.000
Si 0.765 0.265 0.500
Zn 0.516 0.516 0.000
CELL_PARAMETERS angstrom
4.900 0.005 0.027
1.325 4.717 -0.027
-2.692 -2.915 2.875
```

## Properties
formation energy from raw total energies	363	meV per atom
crystal system	orthorhombic
volume	66	Å³/cell